Entry i
Entry from the Alexandria database: a relaxed Sn2WI2 crystal (PBE).

Properties
Mass density ... 6.2 g/cm3

Lattice parameters (Å, degrees): 4.0863 4.0863 21.5129 90.00 90.00 90.00
Closest atoms and distances in Å follow each position.
Space group I4/mmm (No. 139)
Unique sites:
Sn 0.0000 0.0000 0.0677  1 Sn 2.91, 4 W 3.24
W 0.0000 0.0000 0.5000  8 Sn 3.24
I 0.0000 0.5000 0.2500  4 I 2.89

=====

Entry ii
Entry from the Alexandria database: a relaxed Sn2WI2 crystal (PBE).

Properties
Mass density ... 6.3 g/cm3

Lattice parameters (Å, degrees): 7.8150 7.8150 5.8567 90.00 90.00 90.00
Closest atoms and distances in Å follow each position.
Space group P4/mbm (No. 127)
Unique sites:
Sn 0.2372 0.2628 0.0000  2 W 2.77, 2 I 3.07
W 0.0000 0.0000 0.0000  4 Sn 2.77
I 0.1798 0.6798 0.5000  2 Sn 3.07

=====

Pick the most stable structure from those above. Pick: entry ii